No. 1
A plane-wave DFT calculation with PBEsol was carried out for Ta2PbW after structural relaxation.

**Symmetry**: Pm
**Energy of formation from the pure elements**: 0.43 eV/atom
**E_tot**: -10.301 eV per atom
**Total moment**: 0.000 μB/atom

a b c (Å): 2.9133 4.6958 5.4922
angles (deg): 90.00 99.49 90.00
Closest atoms and distances in Å follow each position.
Fractional coordinates of all 4 atoms:
Ta 0.0000 0.0000 0.0000  2 W 2.77, 3 Pb 2.85-3.09, 4 Ta 2.90-2.91
Ta 0.2697 0.5000 0.7462  1 W 2.63, 4 Ta 2.90-2.91
Pb 0.6064 0.0000 0.4895  5 Ta 2.85-3.09, 2 W 2.88, 2 Pb 2.91
W 0.7258 0.5000 0.2021  3 Ta 2.63-2.77, 2 Pb 2.88, 2 W 2.91



No. 2
A plane-wave DFT calculation with PBEsol was carried out for MnBe2Zn after structural relaxation.

**Symmetry**: I-4m2
**Energy of formation from the pure elements**: 0.11 eV/atom
**E_tot**: -4.724 eV per atom
**Total moment**: 0.240 μB/atom

a b c (Å): 3.2082 3.2082 7.6922
angles (deg): 90.00 90.00 90.00
Closest atoms and distances in Å follow each position.
Fractional coordinates of all 8 atoms:
Mn 0.0000 0.0000 0.0000  8 Be 2.27-2.50, 4 Zn 2.50
Mn 0.5000 0.5000 0.5000  8 Be 2.27-2.50, 4 Zn 2.50
Be 0.0000 0.0000 0.5000  4 Mn 2.27, 4 Be 2.50, 4 Zn 2.50
Be 0.0000 0.5000 0.7500  4 Zn 2.27, 4 Mn 2.50, 4 Be 2.50
Be 0.5000 0.0000 0.2500  4 Zn 2.27, 4 Mn 2.50, 4 Be 2.50
Be 0.5000 0.5000 0.0000  4 Mn 2.27, 4 Be 2.50, 4 Zn 2.50
Zn 0.0000 0.5000 0.2500  8 Be 2.27-2.50, 4 Mn 2.50
Zn 0.5000 0.0000 0.7500  8 Be 2.27-2.50, 4 Mn 2.50